Entry 1:
A relaxed CaZr2Au crystal, computed with PBE.

Cell and atoms, written as POSCAR:
```
CaZr2Au
1.0
-3.1458 3.9676 2.7116
-5.2152 2.1514 1.0788
-2.4913 -1.8490 5.2139
Au Zr Ca
1 2 1
direct
0.5203 0.5203 0.6072
0.2153 0.2153 0.1979
0.9794 0.9794 0.0429
0.7850 0.7850 0.6520
```

Properties
**Volume**: 96.34 Å³ per cell
**Uncorrected energy**: -22.8 eV per cell
**ΔH_f (0 K)**: -0.5 eV/f.u.
**Energy above the lowest structure with this stoichiometry**: 58 kJ/mol of formula units

Entry 2:
A relaxed CaZr2Au crystal, computed with PBE.

Cell and atoms, written as POSCAR:
```
CaZr2Au
1.0
6.0276 0.0058 0.0000
3.0942 5.1728 0.0000
-4.5609 -2.5893 2.9708
Zr Au Ca
2 1 1
direct
0.5000 0.5000 0.0000
0.0000 0.0000 0.0000
0.2500 0.7500 0.5000
0.7500 0.2500 0.5000
```

Properties
**Volume**: 92.58 Å³ per cell
**Uncorrected energy**: -22.5 eV per cell
**ΔH_f (0 K)**: -0.1 eV/f.u.
**Energy above the lowest structure with this stoichiometry**: 92 kJ/mol of formula units

Entry 3:
A relaxed CaZr2Au crystal, computed with PBE.

Cell and atoms, written as POSCAR:
```
CaZr2Au
1.0
-6.6907 4.9578 -0.5534
-2.8532 -3.0437 7.2282
-3.3123 3.0916 4.8124
Zr Ca Au
4 2 2
direct
0.3750 0.3188 0.7500
0.8750 0.9312 0.7500
0.6812 0.1250 0.2500
0.0688 0.6250 0.2500
0.2500 0.7500 0.5000
0.5000 0.5000 0.0000
0.7500 0.2500 0.5000
0.0000 0.0000 0.0000
```

Properties
**Volume**: 207.36 Å³ per cell
**Uncorrected energy**: -43.9 eV per cell
**ΔH_f (0 K)**: 0.4 eV/f.u.
**Energy above the lowest structure with this stoichiometry**: 144 kJ/mol of formula units

Entry 4:
A relaxed CaZr2Au crystal, computed with PBE.

Cell and atoms, written as POSCAR:
```
CaZr2Au
1.0
0.0000 3.5459 3.5459
3.5459 0.0000 3.5459
3.5459 3.5459 0.0000
Zr Au Ca
2 1 1
direct
0.7500 0.7500 0.7500
0.2500 0.2500 0.2500
0.5000 0.5000 0.5000
0.0000 0.0000 0.0000
```

Properties
**Volume**: 89.17 Å³ per cell
**Uncorrected energy**: -21.8 eV per cell
**ΔH_f (0 K)**: 0.6 eV/f.u.
**Energy above the lowest structure with this stoichiometry**: 160 kJ/mol of formula units

Entry 5:
A relaxed Ca3ZrAu crystal, computed with PBE.

Cell and atoms, written as POSCAR:
```
Ca3ZrAu
1.0
-2.1079 4.6306 -2.3967
-4.5165 -0.3299 3.3350
2.6053 3.1747 3.8423
Ca Zr Au
3 1 1
direct
0.0000 0.0000 0.5000
0.5000 0.0000 0.0000
0.0000 0.5000 0.0000
0.5000 0.5000 0.5000
0.0000 0.0000 0.0000
```

Properties
**Volume**: 177.88 Å³ per cell
**Uncorrected energy**: -16.8 eV per cell
**ΔH_f (0 K)**: 1.0 eV/f.u.
**Energy above the lowest structure with this stoichiometry**: 0 kJ/mol of formula units

Entry 6:
A relaxed CaZr2Au crystal, computed with PBE.

Cell and atoms, written as POSCAR:
```
CaZr2Au
1.0
5.7415 -0.0181 0.0000
-2.7604 5.0344 0.0000
0.0000 0.0000 3.2259
Ca Au Zr
1 1 2
direct
0.0000 0.5000 0.5000
0.5000 0.0000 0.5000
0.0000 0.0000 0.0000
0.5000 0.5000 0.0000
```

Properties
**Volume**: 93.08 Å³ per cell
**Uncorrected energy**: -21.9 eV per cell
**ΔH_f (0 K)**: 0.5 eV/f.u.
**Energy above the lowest structure with this stoichiometry**: 154 kJ/mol of formula units

Entry 7:
A relaxed Ca2ZrAu crystal, computed with PBE.

Cell and atoms, written as POSCAR:
```
Ca2ZrAu
1.0
-3.4460 1.7337 4.1171
-2.7896 0.1516 -4.9017
-1.0522 -3.2730 0.4976
Ca Au Zr
2 1 1
direct
0.5000 0.5000 0.0000
0.0000 0.0000 0.0000
0.0000 0.5000 0.5000
0.5000 0.0000 0.5000
```

Properties
**Volume**: 104.62 Å³ per cell
**Uncorrected energy**: -15.6 eV per cell
**ΔH_f (0 K)**: 0.2 eV/f.u.
**Energy above the lowest structure with this stoichiometry**: 94 kJ/mol of formula units

Entry 8:
A relaxed Ca2ZrAu crystal, computed with PBE.

Cell and atoms, written as POSCAR:
```
Ca2ZrAu
1.0
0.0000 3.7492 3.7492
3.7492 0.0000 3.7492
3.7492 3.7492 0.0000
Ca Au Zr
2 1 1
direct
0.2500 0.2500 0.2500
0.7500 0.7500 0.7500
0.5000 0.5000 0.5000
0.0000 0.0000 0.0000
```

Properties
**Volume**: 105.40 Å³ per cell
**Uncorrected energy**: -15.1 eV per cell
**ΔH_f (0 K)**: 0.7 eV/f.u.
**Energy above the lowest structure with this stoichiometry**: 143 kJ/mol of formula units

Entry 9:
A relaxed CaZr2Au crystal, computed with PBE.

Cell and atoms, written as POSCAR:
```
CaZr2Au
1.0
-2.6688 -1.5589 -0.6776
0.7192 -2.1740 2.1835
-4.7607 5.2126 6.7581
Ca Au Zr
1 1 2
direct
0.5000 0.5000 0.7500
0.5000 0.5000 0.2500
0.0000 0.0000 0.0478
0.0000 0.0000 0.4522
```

Properties
**Volume**: 97.84 Å³ per cell
**Uncorrected energy**: -22.3 eV per cell
**ΔH_f (0 K)**: 0.0 eV/f.u.
**Energy above the lowest structure with this stoichiometry**: 107 kJ/mol of formula units

Entry 10:
A relaxed CaZr2Au crystal, computed with PBE.

Cell and atoms, written as POSCAR:
```
CaZr2Au
1.0
5.0846 0.0000 0.0000
2.5423 4.4034 0.0000
2.5423 1.4678 4.1515
Zr Ca Au
2 1 1
direct
0.2500 0.2500 0.2500
0.0000 0.0000 0.0000
0.7500 0.7500 0.7500
0.5000 0.5000 0.5000
```

Properties
**Volume**: 92.95 Å³ per cell
**Uncorrected energy**: -22.1 eV per cell
**ΔH_f (0 K)**: 0.3 eV/f.u.
**Energy above the lowest structure with this stoichiometry**: 134 kJ/mol of formula units

Entry 11:
A relaxed Ca2ZrAu crystal, computed with PBE.

Cell and atoms, written as POSCAR:
```
Ca2ZrAu
1.0
-5.5609 1.6548 1.4931
-2.0189 -1.8112 5.3419
4.9209 2.6931 -2.1034
Ca Au Zr
2 1 1
direct
0.5000 0.5000 0.0000
0.0000 0.0000 0.0000
0.7500 0.2500 0.5000
0.2500 0.7500 0.5000
```

Properties
**Volume**: 100.48 Å³ per cell
**Uncorrected energy**: -15.6 eV per cell
**ΔH_f (0 K)**: 0.2 eV/f.u.
**Energy above the lowest structure with this stoichiometry**: 98 kJ/mol of formula units

Entry 12:
A relaxed Ca2ZrAu crystal, computed with PBE.

Cell and atoms, written as POSCAR:
```
Ca2ZrAu
1.0
4.7732 0.0000 0.0000
0.0000 3.8201 0.0017
0.0000 1.9055 6.1688
Ca Au Zr
2 1 1
direct
0.5000 0.2941 0.2869
0.0000 0.9649 0.9459
0.5000 0.5627 0.7493
0.0000 0.6783 0.5180
```

Properties
**Volume**: 112.47 Å³ per cell
**Uncorrected energy**: -16.1 eV per cell
**ΔH_f (0 K)**: -0.2 eV/f.u.
**Energy above the lowest structure with this stoichiometry**: 52 kJ/mol of formula units

Entry 13:
A relaxed Ca2ZrAu crystal, computed with PBE.

Cell and atoms, written as POSCAR:
```
Ca2ZrAu
1.0
5.9805 -0.0034 0.0000
2.4953 5.4351 0.0000
-4.2379 -2.7158 3.2297
Au Ca Zr
1 2 1
direct
0.7500 0.2500 0.5000
0.2500 0.7500 0.5000
0.0000 0.0000 0.0000
0.5000 0.5000 0.0000
```

Properties
**Volume**: 105.01 Å³ per cell
**Uncorrected energy**: -15.5 eV per cell
**ΔH_f (0 K)**: 0.4 eV/f.u.
**Energy above the lowest structure with this stoichiometry**: 110 kJ/mol of formula units

Entry 14:
A relaxed CdAu5 crystal, computed with PBE.

Cell and atoms, written as POSCAR:
```
CdAu5
1.0
-6.3447 5.8059 -8.9443
-2.0811 -2.1396 0.0874
-1.5014 1.5448 2.0678
Cd Au
1 5
direct
0.8333 0.5000 0.5000
0.0017 0.0000 0.0000
0.1689 0.5000 0.5000
0.3333 0.0000 0.0000
0.4978 0.5000 0.5000
0.6649 0.0000 0.0000
```

Properties
**Volume**: 110.64 Å³ per cell
**Uncorrected energy**: -17.6 eV per cell
**ΔH_f (0 K)**: -0.3 eV/f.u.

Entry 15:
A relaxed Cd7Au6 crystal, computed with PBE.

Cell and atoms, written as POSCAR:
```
Cd7Au6
1.0
-8.8751 0.5235 4.3753
-5.0387 -0.7335 8.5005
-5.6232 4.7071 6.6638
Cd Au
7 6
direct
0.0796 0.5849 0.5849
0.4151 0.4151 0.9204
0.4151 0.9204 0.4151
0.5000 0.5000 0.5000
0.9204 0.4151 0.4151
0.5849 0.0796 0.5849
0.5849 0.5849 0.0796
0.8381 0.8381 0.8381
0.6665 0.6665 0.6665
0.0542 0.0542 0.0542
0.3335 0.3335 0.3335
0.9458 0.9458 0.9458
0.1619 0.1619 0.1619
```

Properties
**Volume**: 269.23 Å³ per cell
**Uncorrected energy**: -25.8 eV per cell
**ΔH_f (0 K)**: 0.2 eV/f.u.

| no. | size of the total moment (μB/f.u.) |
| --- | --- |
| 1 | 0.0 |
| 2 | 0.0 |
| 3 | 0.0 |
| 4 | 0.0 |
| 5 | 2.8 |
| 6 | 0.0 |
| 7 | 0.2 |
| 8 | 2.4 |
| 9 | 0.0 |
| 10 | 3.1 |
| 11 | 0.0 |
| 12 | 0.0 |
| 13 | 2.5 |
| 14 | 0.0 |
| 15 | 0.0 |